# 1
A relaxed Sr2Ca6Mg crystal, computed with GGA-PBE.

Calculated values
Offset from the most stable computed form in meV per atom: 29
N(E_F) in states/eV/atom: 1.099
Energy of formation in meV per atom: 62
Total DFT energy (no corrections) in eV per atom: -1.823
Space group: P-6m2, No. 187

Lattice parameters (Å, degrees): 3.951 3.951 28.619 90.00 90.00 120.00
Positions (direct):
Sr1 0.000 0.000 0.179
Sr2 0.000 0.000 0.821
Ca1 0.000 0.000 0.409
Ca2 0.000 0.000 0.591
Ca3 0.667 0.333 0.063
Ca4 0.667 0.333 0.298
Ca5 0.667 0.333 0.702
Ca6 0.667 0.333 0.937
Mg1 0.667 0.333 0.500



# 2
A relaxed CeNdTm2 crystal, computed with GGA-PBE.

Calculated values
Offset from the most stable computed form in meV per atom: 15
N(E_F) in states/eV/atom: 1.940
Energy of formation in meV per atom: 67
Total DFT energy (no corrections) in eV per atom: -4.844
Space group: P-1, No. 2

Lattice parameters (Å, degrees): 3.477 6.706 11.008 90.22 90.09 104.99
Positions (direct):
Ce1 0.109 0.218 0.009
Ce2 0.891 0.782 0.991
Nd1 0.131 0.264 0.482
Nd2 0.869 0.736 0.518
Tm1 0.255 0.509 0.761
Tm2 0.479 0.959 0.250
Tm3 0.521 0.041 0.750
Tm4 0.745 0.491 0.239



# 3
A relaxed RbNaMnBr4 crystal, computed with GGA-PBE.

Calculated values
N(E_F) in states/eV/atom: 0.000
Total DFT energy (no corrections) in eV per atom: -3.877
Space group: P2_1/m, No. 11

Lattice parameters (Å, degrees): 7.285 7.637 9.268 90.00 107.11 90.00
Positions (direct):
Rb1 0.243 0.250 0.057
Rb2 0.757 0.750 0.943
Na1 0.219 0.250 0.556
Na2 0.781 0.750 0.444
Mn1 0.234 0.750 0.327
Mn2 0.766 0.250 0.673
Br1 0.000 0.000 0.280
Br2 0.000 0.000 0.720
Br3 0.000 0.500 0.280
Br4 0.000 0.500 0.720
Br5 0.424 0.750 0.143
Br6 0.462 0.750 0.584
Br7 0.538 0.250 0.416
Br8 0.576 0.250 0.857



# 4
A relaxed SrSc2O4 crystal, computed with GGA-PBE.

Calculated values
Offset from the most stable computed form in meV per atom: 0
N(E_F) in states/eV/atom: 0.000
Total DFT energy (no corrections) in eV per atom: -8.223
Space group: Pnma, No. 62

Lattice parameters (Å, degrees): 9.782 3.214 11.382 90.00 90.00 90.00
Positions (direct):
Sr1 0.245 0.250 0.153
Sr2 0.255 0.750 0.653
Sr3 0.745 0.250 0.347
Sr4 0.755 0.750 0.847
Sc1 0.070 0.250 0.390
Sc2 0.078 0.250 0.894
Sc3 0.422 0.750 0.394
Sc4 0.430 0.750 0.890
Sc5 0.570 0.250 0.110
Sc6 0.578 0.250 0.606
Sc7 0.922 0.750 0.106
Sc8 0.930 0.750 0.610
O1 0.022 0.750 0.783
O2 0.075 0.250 0.574
O3 0.116 0.750 0.021
O4 0.207 0.750 0.340
O5 0.293 0.250 0.840
O6 0.384 0.250 0.521
O7 0.425 0.750 0.074
O8 0.478 0.250 0.283
O9 0.522 0.750 0.717
O10 0.575 0.250 0.926
O11 0.616 0.750 0.479
O12 0.707 0.750 0.160
O13 0.793 0.250 0.660
O14 0.884 0.250 0.979
O15 0.925 0.750 0.426
O16 0.978 0.250 0.217



# 5
A relaxed SnHg3C crystal, computed with GGA-PBE.

Calculated values
Offset from the most stable computed form in meV per atom: 476
N(E_F) in states/eV/atom: 1.000
Energy of formation in meV per atom: 1495
Total DFT energy (no corrections) in eV per atom: -1.332
Space group: Pm-3m, No. 221

Lattice parameters (Å, degrees): 5.679 5.679 5.679 90.00 90.00 90.00
Positions (direct):
Sn1 0.000 0.000 0.000
Hg1 0.000 0.000 0.500
Hg2 0.000 0.500 0.000
Hg3 0.500 0.000 0.000
C1 0.500 0.500 0.500



# 6
A relaxed Cs3BaAl crystal, computed with GGA-PBE.

Calculated values
N(E_F) in states/eV/atom: 1.324
Energy of formation in meV per atom: 434
Total DFT energy (no corrections) in eV per atom: -1.211
Space group: Pm-3m, No. 221

Lattice parameters (Å, degrees): 7.465 7.465 7.465 90.00 90.00 90.00
Positions (direct):
Cs1 0.000 0.000 0.500
Cs2 0.000 0.500 0.000
Cs3 0.500 0.000 0.000
Ba1 0.500 0.500 0.500
Al1 0.000 0.000 0.000



# 7
A relaxed BeTl2Ag crystal, computed with GGA-PBE.

Calculated values
N(E_F) in states/eV/atom: 0.345
Energy of formation in meV per atom: 518
Total DFT energy (no corrections) in eV per atom: -2.309
Space group: Immm, No. 71

Lattice parameters (Å, degrees): 5.526 5.526 5.526 142.86 119.09 73.54
Positions (direct):
Be1 0.000 0.000 0.000
Tl1 0.223 0.723 0.500
Tl2 0.777 0.277 0.500
Ag1 0.500 0.500 0.000



# 8
A relaxed Ca2Ac6La3Pm crystal, computed with GGA-PBE.

Calculated values
N(E_F) in states/eV/atom: 1.588
Energy of formation in meV per atom: 32
Total DFT energy (no corrections) in eV per atom: -3.983
Space group: C2/m, No. 12

Lattice parameters (Å, degrees): 6.764 6.764 12.760 95.07 95.07 120.10
Positions (direct):
Ca1 0.167 0.833 0.000
Ca2 0.833 0.167 0.000
Ac1 0.088 0.417 0.748
Ac2 0.255 0.255 0.251
Ac3 0.417 0.088 0.748
Ac4 0.583 0.912 0.252
Ac5 0.745 0.745 0.749
Ac6 0.912 0.583 0.252
La1 0.000 0.000 0.500
La2 0.335 0.665 0.500
La3 0.665 0.335 0.500
Pm1 0.500 0.500 0.000



# 9
A relaxed Ba3YCu crystal, computed with GGA-PBE.

Calculated values
Offset from the most stable computed form in meV per atom: 0
N(E_F) in states/eV/atom: 1.493
Energy of formation in meV per atom: 288
Total DFT energy (no corrections) in eV per atom: -2.978
Space group: Pm-3m, No. 221

Lattice parameters (Å, degrees): 6.239 6.239 6.239 90.00 90.00 90.00
Positions (direct):
Ba1 0.000 0.000 0.500
Ba2 0.000 0.500 0.000
Ba3 0.500 0.000 0.000
Y1 0.500 0.500 0.500
Cu1 0.000 0.000 0.000



# 10
A relaxed La2FeTc crystal, computed with GGA-PBE.

Calculated values
Offset from the most stable computed form in meV per atom: 389
N(E_F) in states/eV/atom: 1.497
Energy of formation in meV per atom: 452
Total DFT energy (no corrections) in eV per atom: -6.719
Space group: Fm-3m, No. 225

Lattice parameters (Å, degrees): 4.983 4.983 4.983 60.00 60.00 60.00
Positions (direct):
La1 0.250 0.250 0.250
La2 0.750 0.750 0.750
Fe1 0.000 0.000 0.000
Tc1 0.500 0.500 0.500



# 11
A relaxed Zn2HgAu2 crystal, computed with GGA-PBE.

Calculated values
Offset from the most stable computed form in meV per atom: 97
N(E_F) in states/eV/atom: 0.355
Energy of formation in meV per atom: -13
Total DFT energy (no corrections) in eV per atom: -1.894
Space group: I4/mmm, No. 139

Lattice parameters (Å, degrees): 6.866 6.866 6.866 146.53 146.53 48.06
Positions (direct):
Zn1 0.100 0.100 0.000
Zn2 0.900 0.900 0.000
Hg1 0.500 0.500 0.000
Au1 0.250 0.750 0.500
Au2 0.750 0.250 0.500



# 12
A relaxed CrRh3 crystal, computed with GGA-PBE.

Calculated values
N(E_F) in states/eV/atom: 1.430
Energy of formation in meV per atom: -71
Total DFT energy (no corrections) in eV per atom: -7.990
Space group: Pm-3m, No. 221

Lattice parameters (Å, degrees): 3.785 3.785 3.785 90.00 90.00 90.00
Positions (direct):
Cr1 0.000 0.000 0.000
Rh1 0.000 0.500 0.500
Rh2 0.500 0.000 0.500
Rh3 0.500 0.500 0.000



# 13
A relaxed Ho3ErAg4 crystal, computed with GGA-PBE.

Calculated values
N(E_F) in states/eV/atom: 0.556
Energy of formation in meV per atom: -329
Total DFT energy (no corrections) in eV per atom: -4.042
Space group: Pmmm, No. 47

Lattice parameters (Å, degrees): 3.586 5.137 10.274 90.00 90.00 90.00
Positions (direct):
Ho1 0.000 0.000 0.000
Ho2 0.000 0.500 0.250
Ho3 0.000 0.500 0.750
Er1 0.000 0.000 0.500
Ag1 0.500 0.000 0.251
Ag2 0.500 0.000 0.749
Ag3 0.500 0.500 0.000
Ag4 0.500 0.500 0.500



# 14
A relaxed CsSe2NF crystal, computed with GGA-PBE.

Calculated values
N(E_F) in states/eV/atom: 0.441
Total DFT energy (no corrections) in eV per atom: -3.036
Space group: P4/mmm, No. 123

Lattice parameters (Å, degrees): 4.606 4.606 6.059 90.00 90.00 90.00
Positions (direct):
Cs1 0.000 0.000 0.000
Se1 0.000 0.500 0.500
Se2 0.500 0.000 0.500
N1 0.500 0.500 0.000
F1 0.500 0.500 0.500



# 15
A relaxed Mg2TaSi crystal, computed with GGA-PBE.

Calculated values
N(E_F) in states/eV/atom: 0.710
Total DFT energy (no corrections) in eV per atom: -4.997
Space group: P4/mmm, No. 123

Lattice parameters (Å, degrees): 3.971 3.971 4.345 90.00 90.00 90.00
Positions (direct):
Mg1 0.000 0.500 0.000
Mg2 0.500 0.000 0.000
Ta1 0.000 0.000 0.500
Si1 0.500 0.500 0.500



# 16
A relaxed CdPbO crystal, computed with GGA-PBE.

Calculated values
Offset from the most stable computed form in meV per atom: 0
N(E_F) in states/eV/atom: 0.298
Total DFT energy (no corrections) in eV per atom: -3.836
Space group: Pmmn, No. 59

Lattice parameters (Å, degrees): 3.693 4.509 9.153 90.00 90.00 90.00
Positions (direct):
Cd1 0.250 0.250 0.002
Cd2 0.750 0.750 0.998
Pb1 0.250 0.250 0.374
Pb2 0.750 0.750 0.626
O1 0.250 0.750 0.476
O2 0.750 0.250 0.524



# 17
A relaxed SnSb2Os crystal, computed with GGA-PBE.

Calculated values
Offset from the most stable computed form in meV per atom: 281
N(E_F) in states/eV/atom: 1.071
Total DFT energy (no corrections) in eV per atom: -5.110
Space group: R-3m, No. 166

Lattice parameters (Å, degrees): 11.463 11.463 11.463 15.60 15.60 15.60
Positions (direct):
Sn1 0.000 0.000 0.000
Sb1 0.423 0.423 0.423
Sb2 0.577 0.577 0.577
Os1 0.500 0.500 0.500



# 18
A relaxed EuGdInGa crystal, computed with GGA-PBE.

Calculated values
N(E_F) in states/eV/atom: 1.936
Energy of formation in meV per atom: -460
Total DFT energy (no corrections) in eV per atom: -7.990
Space group: F-43m, No. 216

Lattice parameters (Å, degrees): 5.346 5.346 5.346 60.00 60.00 60.00
Positions (direct):
Eu1 0.000 0.000 0.000
Gd1 0.500 0.500 0.500
In1 0.750 0.750 0.750
Ga1 0.250 0.250 0.250



# 19
A relaxed ScCdCu2 crystal, computed with GGA-PBE.

Calculated values
N(E_F) in states/eV/atom: 0.368
Energy of formation in meV per atom: -151
Total DFT energy (no corrections) in eV per atom: -4.011
Space group: P2/m, No. 10

Lattice parameters (Å, degrees): 3.292 3.258 6.299 90.00 90.24 90.00
Positions (direct):
Sc1 0.000 0.000 0.000
Cd1 0.000 0.000 0.500
Cu1 0.500 0.500 0.241
Cu2 0.500 0.500 0.759



# 20
A relaxed FeAgCl crystal, computed with GGA-PBE.

Calculated values
Offset from the most stable computed form in meV per atom: 526
N(E_F) in states/eV/atom: 1.714
Total DFT energy (no corrections) in eV per atom: -3.815
Space group: F-43m, No. 216

Lattice parameters (Å, degrees): 4.365 4.365 4.365 60.00 60.00 60.00
Positions (direct):
Fe1 0.000 0.000 0.000
Ag1 0.250 0.250 0.250
Cl1 0.750 0.750 0.750